# MgMnTe | Alexandria via LeMat-Bulk | PBE-GGA | optimized geometry
data_MgMnTe
_space_group_name_H-M_alt 'F -4 3 m'
_space_group_IT_number 216
_space_group_name_Hall 'F -4 2 3'
_cell_length_a 6.369
_cell_length_b 6.369
_cell_length_c 6.369
_cell_angle_alpha 90.00
_cell_angle_beta 90.00
_cell_angle_gamma 90.00
loop_
_atom_site_label
_atom_site_fract_x
_atom_site_fract_y
_atom_site_fract_z
Mg1 0.000 0.000 0.000
Mn1 0.250 0.250 0.250
Te1 0.000 0.000 0.500
# Energy in eV per atom: -4.580

=====

# Hf2GaBi | Alexandria via LeMat-Bulk | PBE-GGA | optimized geometry
data_Hf2GaBi
_space_group_name_H-M_alt 'I -4 2 d'
_space_group_IT_number 122
_space_group_name_Hall 'I -4 2bw'
_cell_length_a 6.085
_cell_length_b 6.085
_cell_length_c 13.772
_cell_angle_alpha 90.00
_cell_angle_beta 90.00
_cell_angle_gamma 90.00
loop_
_atom_site_label
_atom_site_fract_x
_atom_site_fract_y
_atom_site_fract_z
Hf1 0.201 0.250 0.125
Ga1 0.000 0.000 0.000
Bi1 0.000 0.000 0.500
# Energy relative to the elements in meV/atom: 699

=====

# Ac8Y5Ho | Alexandria via LeMat-Bulk | PBE-GGA | optimized geometry
data_Ac8Y5Ho
_space_group_name_H-M_alt 'P 1'
_space_group_IT_number 1
_cell_length_a 8.964
_cell_length_b 8.972
_cell_length_c 9.352
_cell_angle_alpha 117.23
_cell_angle_beta 116.78
_cell_angle_gamma 92.59
loop_
_space_group_symop_operation_xyz
'x,y,z'
loop_
_atom_site_label
_atom_site_fract_x
_atom_site_fract_y
_atom_site_fract_z
Ac1 0.000 0.000 0.000
Ac2 0.008 0.668 0.543
Ac3 0.189 0.785 0.285
Ac4 0.368 0.302 0.542
Ac5 0.480 0.485 0.286
Ac6 0.695 0.995 0.549
Ac7 0.705 0.294 0.009
Ac8 0.717 0.744 0.114
Y1 0.205 0.120 0.752
Y2 0.253 0.561 0.878
Y3 0.450 0.026 0.128
Y4 0.498 0.812 0.732
Y5 0.815 0.495 0.736
Ho1 0.913 0.211 0.409
# Energy relative to the elements in meV/atom: 148

=====

# Ho2TmIr2 | Alexandria via LeMat-Bulk | PBE-GGA | optimized geometry
data_Ho2TmIr2
_space_group_name_H-M_alt 'C 1 2/c 1'
_space_group_IT_number 15
_cell_length_a 10.559
_cell_length_b 5.553
_cell_length_c 8.196
_cell_angle_alpha 90.00
_cell_angle_beta 108.68
_cell_angle_gamma 90.00
loop_
_space_group_symop_operation_xyz
'x,y,z'
'-x,-y,-z'
'-x,y,-z+1/2'
'x,-y,z+1/2'
'x+1/2,y+1/2,z'
'-x+1/2,-y+1/2,-z'
'-x+1/2,y+1/2,-z+1/2'
'x+1/2,-y+1/2,z+1/2'
loop_
_atom_site_label
_atom_site_fract_x
_atom_site_fract_y
_atom_site_fract_z
Ho1 0.148 0.156 0.151
Tm1 0.000 0.349 0.750
Ir1 0.140 0.347 0.507
# Energy relative to the elements in meV/atom: -771